Material: KAlIr2O8
Method: DFT, PBE
State: relaxed

The structure in POSCAR format:
```
KAlIr2O8
1.0
5.474 0.000 0.000
-2.737 4.741 0.000
0.000 0.000 6.898
K Al Ir O
1 1 2 8
direct
0.000 0.000 0.000
0.000 0.000 0.500
0.333 0.667 0.767
0.667 0.333 0.233
0.155 0.311 0.665
0.155 0.845 0.665
0.311 0.155 0.335
0.333 0.667 0.026
0.667 0.333 0.974
0.689 0.845 0.665
0.845 0.155 0.335
0.845 0.689 0.335
```

Its space group is P-3m1 (164). As for the total energy: -6.114 eV/atom.

Material: CdGa2Pb
Method: DFT, PBE
State: relaxed

The structure in POSCAR format:
```
CdGa2Pb
1.0
0.000 3.612 3.612
3.612 0.000 3.612
3.612 3.612 0.000
Cd Ga Pb
1 2 1
direct
0.000 0.000 0.000
0.250 0.250 0.250
0.500 0.500 0.500
0.750 0.750 0.750
```

Its space group is F-43m (216). As for the total energy: -2.560 eV/atom.

Material: Nb2AgTe4Au
Method: DFT, PBE
State: relaxed

The structure in POSCAR format:
```
Nb2AgTe4Au
1.0
3.723 0.000 0.000
-1.861 3.224 0.000
0.000 0.000 17.731
Nb Ag Te Au
2 1 4 1
direct
0.333 0.667 0.252
0.667 0.333 0.748
0.000 0.000 0.000
0.000 0.000 0.151
0.000 0.000 0.352
0.000 0.000 0.648
0.000 0.000 0.849
0.000 0.000 0.500
```

Its space group is P-3m1 (164). As for the total energy: -5.123 eV/atom.

Please write out number 3 again, unchanged.
Material: Nb2AgTe4Au
Method: DFT, PBE
State: relaxed

The structure in POSCAR format:
```
Nb2AgTe4Au
1.0
3.723 0.000 0.000
-1.861 3.224 0.000
0.000 0.000 17.731
Nb Ag Te Au
2 1 4 1
direct
0.333 0.667 0.252
0.667 0.333 0.748
0.000 0.000 0.000
0.000 0.000 0.151
0.000 0.000 0.352
0.000 0.000 0.648
0.000 0.000 0.849
0.000 0.000 0.500
```

Its space group is P-3m1 (164). As for the total energy: -5.123 eV/atom.